No. 1
{"formula": "Dy2AgB2Rh5", "functional": "GGA-PBE", "state": "relaxed", "lattice_angstrom": [[9.606, 0.000, 0.000], [0.000, 9.606, 0.000], [0.000, 0.000, 3.227]], "species": ["Dy", "Dy", "Dy", "Dy", "Ag", "Ag", "B", "B", "B", "B", "Rh", "Rh", "Rh", "Rh", "Rh", "Rh", "Rh", "Rh", "Rh", "Rh"], "fractional_positions": [[0.176, 0.324, 0.000], [0.324, 0.824, 0.000], [0.676, 0.176, 0.000], [0.824, 0.676, 0.000], [0.000, 0.000, 0.000], [0.500, 0.500, 0.000], [0.123, 0.623, 0.000], [0.377, 0.123, 0.000], [0.623, 0.877, 0.000], [0.877, 0.377, 0.000], [0.000, 0.500, 0.500], [0.071, 0.774, 0.500], [0.226, 0.071, 0.500], [0.274, 0.571, 0.500], [0.429, 0.274, 0.500], [0.500, 0.000, 0.500], [0.571, 0.726, 0.500], [0.726, 0.429, 0.500], [0.774, 0.929, 0.500], [0.929, 0.226, 0.500]], "formation_enthalpy_0k_kj_per_mol_fu": -622, "crystal_system": "tetragonal", "total_energy_ev_per_cell": -137.2, "magnetic_moment_mub_per_cell": 0.00, "volume_a3_per_atom": 14.89}


No. 2
{"formula": "Ti3Al2GaTc3", "functional": "GGA-PBE", "state": "relaxed", "lattice_angstrom": [[7.175, 0.000, 0.000], [-3.588, 6.214, 0.000], [0.000, 0.000, 3.083]], "species": ["Ti", "Ti", "Ti", "Al", "Al", "Ga", "Tc", "Tc", "Tc"], "fractional_positions": [[0.000, 0.276, 0.000], [0.276, 0.000, 0.000], [0.724, 0.724, 0.000], [0.333, 0.667, 0.000], [0.667, 0.333, 0.000], [0.000, 0.000, 0.500], [0.000, 0.623, 0.500], [0.377, 0.377, 0.500], [0.623, 0.000, 0.500]], "formation_enthalpy_0k_kj_per_mol_fu": -254, "crystal_system": "hexagonal", "total_energy_ev_per_cell": -67.9, "magnetic_moment_mub_per_cell": 0.00, "volume_a3_per_atom": 15.27}